1.
! SrNdAl3O7 GGA-PBEsol relaxed; values from VASP
&SYSTEM
  ibrav = 0, nat = 24, ntyp = 4
/
ATOMIC_SPECIES
Sr 87.62 Sr.upf
Nd 144.24 Nd.upf
Al 26.98 Al.upf
O 16.00 O.upf
CELL_PARAMETERS angstrom
5.543 -5.547 0.000
5.543 5.547 0.000
0.000 0.000 5.169
ATOMIC_POSITIONS crystal
Sr 0.161 0.839 0.000
Sr 0.839 0.161 0.000
Nd 0.339 0.339 0.022
Nd 0.661 0.661 0.022
Al 0.000 0.500 0.508
Al 0.146 0.146 0.471
Al 0.358 0.642 0.549
Al 0.500 0.000 0.508
Al 0.642 0.358 0.549
Al 0.854 0.854 0.471
O 0.000 0.000 0.346
O 0.094 0.340 0.311
O 0.153 0.153 0.806
O 0.166 0.582 0.701
O 0.340 0.094 0.311
O 0.370 0.630 0.212
O 0.418 0.834 0.701
O 0.500 0.500 0.703
O 0.582 0.166 0.701
O 0.630 0.370 0.212
O 0.660 0.906 0.311
O 0.834 0.418 0.701
O 0.847 0.847 0.806
O 0.906 0.660 0.311
! - Energy relative to the elements, uncorrected: -3157 meV per atom
! - DOS(E_F): 0.00 states/eV/atom
! - Space group: No. 35

***

2.
! ErB3Mo GGA-PBEsol relaxed; values from VASP
&SYSTEM
  ibrav = 0, nat = 10, ntyp = 3
/
ATOMIC_SPECIES
Er 167.26 Er.upf
B 10.81 B.upf
Mo 95.94 Mo.upf
CELL_PARAMETERS angstrom
5.375 0.000 0.000
0.000 3.133 0.000
-1.367 0.000 6.592
ATOMIC_POSITIONS crystal
Er 0.177 0.250 0.209
Er 0.823 0.750 0.791
B 0.083 0.750 0.493
B 0.413 0.750 0.496
B 0.417 0.750 0.975
B 0.583 0.250 0.025
B 0.587 0.250 0.504
B 0.917 0.250 0.507
Mo 0.310 0.250 0.720
Mo 0.690 0.750 0.280
! - DOS(E_F): 0.22 states/eV/atom
! - Space group: No. 11
! - Energy relative to the elements: -714.0 meV/atom

***

no.,V (Å³/atom),E (eV per atom)
1,13.25,-7.83
2,11.10,-8.26